Record 1
This record from the Alexandria database describes crystalline Na2BeSe at its relaxed geometry. The functional is PBE-GGA.

```
Na2BeSe
1.0
7.052 0.000 0.000
0.000 7.052 0.000
0.000 0.000 7.052
Na Be Se
8 4 4
direct
0.250 0.250 0.250 Na
0.250 0.250 0.750 Na
0.250 0.750 0.250 Na
0.250 0.750 0.750 Na
0.750 0.250 0.250 Na
0.750 0.250 0.750 Na
0.750 0.750 0.250 Na
0.750 0.750 0.750 Na
0.000 0.000 0.000 Be
0.000 0.500 0.500 Be
0.500 0.000 0.500 Be
0.500 0.500 0.000 Be
0.000 0.000 0.500 Se
0.000 0.500 0.000 Se
0.500 0.000 0.000 Se
0.500 0.500 0.500 Se
```

The raw total energy comes out at -2.443 eV per atom. The relative energy among the computed polymorphs is 0 meV/atom. For the size of the total moment, the calculation gives 0.0 μB/cell. The symmetry is Fm-3m. The value obtained for the density of states at the Fermi level is 0.00 states/eV/cell. The calculation puts the uncorrected formation energy at 0.02 eV/atom.

=====

Record 2
This record from the Alexandria database describes crystalline Na3Be2Se4 at its relaxed geometry. The functional is PBE-GGA.

```
Na3Be2Se4
1.0
3.552 0.000 0.000
1.771 8.050 0.000
1.767 3.391 7.423
Na Be Se
3 2 4
direct
0.000 0.000 0.000 Na
0.115 0.416 0.355 Na
0.885 0.584 0.645 Na
0.322 0.961 0.392 Be
0.678 0.039 0.608 Be
0.223 0.852 0.704 Se
0.482 0.745 0.289 Se
0.518 0.255 0.711 Se
0.777 0.148 0.296 Se
```

The raw total energy comes out at -3.659 eV per atom. For the size of the total moment, the calculation gives 0.0 μB/cell. The symmetry is P-1. The value obtained for the density of states at the Fermi level is 2.68 states/eV/cell. The calculation puts the uncorrected formation energy at -0.84 eV/atom.

=====

Record 3
This record from the Alexandria database describes crystalline Na3BeSe at its relaxed geometry. The functional is PBE-GGA.

```
Na3BeSe
1.0
5.504 0.000 0.000
0.000 5.504 0.000
0.000 0.000 5.504
Na Be Se
3 1 1
direct
0.000 0.000 0.500 Na
0.000 0.500 0.000 Na
0.500 0.000 0.000 Na
0.500 0.500 0.500 Be
0.000 0.000 0.000 Se
```

The raw total energy comes out at -2.175 eV per atom. The relative energy among the computed polymorphs is 0 meV/atom. For the size of the total moment, the calculation gives 0.8 μB/cell. The symmetry is Pm-3m. The value obtained for the density of states at the Fermi level is 3.31 states/eV/cell. The calculation puts the uncorrected formation energy at 0.06 eV/atom.

=====

Record 4
This record from the Alexandria database describes crystalline Na2BeSe at its relaxed geometry. The functional is PBE-GGA.

```
Na2BeSe
1.0
4.046 0.000 0.000
0.000 4.046 0.000
0.000 0.000 20.502
Na Be Se
8 4 4
direct
0.241 0.250 0.125 Na
0.250 0.741 0.375 Na
0.250 0.759 0.875 Na
0.259 0.250 0.625 Na
0.741 0.750 0.625 Na
0.750 0.241 0.875 Na
0.750 0.259 0.375 Na
0.759 0.750 0.125 Na
0.000 0.000 0.500 Be
0.000 0.500 0.750 Be
0.500 0.000 0.250 Be
0.500 0.500 0.000 Be
0.000 0.000 0.000 Se
0.000 0.500 0.250 Se
0.500 0.000 0.750 Se
0.500 0.500 0.500 Se
```

The raw total energy comes out at -2.216 eV per atom. The relative energy among the computed polymorphs is 227 meV/atom. For the size of the total moment, the calculation gives 0.0 μB/cell. The symmetry is I-42d. The value obtained for the density of states at the Fermi level is 9.40 states/eV/cell. The calculation puts the uncorrected formation energy at 0.25 eV/atom.

=====

Record 5
This record from the Alexandria database describes crystalline Na2Be2Se3 at its relaxed geometry. The functional is PBE-GGA.

```
Na2Be2Se3
1.0
7.444 -6.511 0.000
7.444 6.511 0.000
-2.726 0.000 5.855
Na Be Se
8 8 12
direct
0.064 0.936 0.750 Na
0.214 0.786 0.250 Na
0.309 0.484 0.399 Na
0.484 0.309 0.899 Na
0.516 0.691 0.101 Na
0.691 0.516 0.601 Na
0.786 0.214 0.750 Na
0.936 0.064 0.250 Na
0.037 0.575 0.728 Be
0.146 0.302 0.798 Be
0.302 0.146 0.298 Be
0.425 0.963 0.772 Be
0.575 0.037 0.228 Be
0.698 0.854 0.702 Be
0.854 0.698 0.202 Be
0.963 0.425 0.272 Be
0.060 0.646 0.441 Se
0.095 0.245 0.083 Se
0.245 0.095 0.583 Se
0.256 0.510 0.917 Se
0.354 0.940 0.059 Se
0.490 0.744 0.583 Se
0.510 0.256 0.417 Se
0.646 0.060 0.941 Se
0.744 0.490 0.083 Se
0.755 0.905 0.417 Se
0.905 0.755 0.917 Se
0.940 0.354 0.559 Se
```

The raw total energy comes out at -3.832 eV per atom. For the size of the total moment, the calculation gives 0.0 μB/cell. The symmetry is C2/c. The value obtained for the density of states at the Fermi level is 0.00 states/eV/cell. The calculation puts the uncorrected formation energy at -0.90 eV/atom.

=====

Record 6
This record from the Alexandria database describes crystalline Na2BeSiSe4 at its relaxed geometry. The functional is PBE-GGA.

```
Na2BeSiSe4
1.0
6.540 0.000 0.000
0.000 6.540 0.000
0.000 0.000 9.000
Na Be Si Se
4 2 2 8
direct
0.000 0.000 0.000 Na
0.000 0.500 0.250 Na
0.500 0.000 0.750 Na
0.500 0.500 0.500 Na
0.000 0.000 0.500 Be
0.500 0.500 0.000 Be
0.000 0.500 0.750 Si
0.500 0.000 0.250 Si
0.171 0.251 0.617 Se
0.249 0.671 0.883 Se
0.251 0.829 0.383 Se
0.329 0.249 0.117 Se
0.671 0.751 0.117 Se
0.749 0.171 0.383 Se
0.751 0.329 0.883 Se
0.829 0.749 0.617 Se
```

The raw total energy comes out at -4.041 eV per atom. For the size of the total moment, the calculation gives 0.0 μB/cell. The symmetry is I-4. The value obtained for the density of states at the Fermi level is 0.00 states/eV/cell. The calculation puts the uncorrected formation energy at -0.83 eV/atom.

=====

Record 7
This record from the Alexandria database describes crystalline NaBe2SiSe4 at its relaxed geometry. The functional is PBE-GGA.

```
NaBe2SiSe4
1.0
5.571 0.000 0.000
0.000 5.571 0.000
0.000 0.000 11.561
Na Be Si Se
2 4 2 8
direct
0.000 0.000 0.000 Na
0.500 0.500 0.500 Na
0.000 0.500 0.250 Be
0.000 0.500 0.750 Be
0.500 0.000 0.250 Be
0.500 0.000 0.750 Be
0.000 0.000 0.500 Si
0.500 0.500 0.000 Si
0.233 0.233 0.352 Se
0.233 0.767 0.648 Se
0.267 0.267 0.852 Se
0.267 0.733 0.148 Se
0.733 0.267 0.148 Se
0.733 0.733 0.852 Se
0.767 0.233 0.648 Se
0.767 0.767 0.352 Se
```

The raw total energy comes out at -3.980 eV per atom. For the size of the total moment, the calculation gives 1.6 μB/cell. The symmetry is I-42m. The value obtained for the density of states at the Fermi level is 8.54 states/eV/cell. The calculation puts the uncorrected formation energy at -0.46 eV/atom.

=====

Record 8
This record from the Alexandria database describes crystalline Na2BeSnSe4 at its relaxed geometry. The functional is PBE-GGA.

```
Na2BeSnSe4
1.0
6.656 0.000 0.000
0.000 6.656 0.000
0.000 0.000 9.678
Na Be Sn Se
4 2 2 8
direct
0.000 0.000 0.000 Na
0.000 0.500 0.250 Na
0.500 0.000 0.750 Na
0.500 0.500 0.500 Na
0.000 0.000 0.500 Be
0.500 0.500 0.000 Be
0.000 0.500 0.750 Sn
0.500 0.000 0.250 Sn
0.188 0.769 0.609 Se
0.231 0.188 0.391 Se
0.269 0.312 0.891 Se
0.312 0.731 0.109 Se
0.688 0.269 0.109 Se
0.731 0.688 0.891 Se
0.769 0.812 0.391 Se
0.812 0.231 0.609 Se
```

The raw total energy comes out at -3.824 eV per atom. For the size of the total moment, the calculation gives 0.0 μB/cell. The symmetry is I-4. The value obtained for the density of states at the Fermi level is 0.00 states/eV/cell. The calculation puts the uncorrected formation energy at -0.79 eV/atom.

=====

Record 9
This record from the Alexandria database describes crystalline Na2SrBe2Se4 at its relaxed geometry. The functional is PBE-GGA.

```
Na2SrBe2Se4
1.0
7.891 -1.958 0.000
7.891 1.958 0.000
-4.341 0.000 7.254
Na Sr Be Se
2 1 2 4
direct
0.111 0.111 0.137 Na
0.889 0.889 0.863 Na
0.000 0.000 0.500 Sr
0.326 0.326 0.113 Be
0.674 0.674 0.887 Be
0.226 0.226 0.799 Se
0.485 0.485 0.211 Se
0.515 0.515 0.789 Se
0.774 0.774 0.201 Se
```

The raw total energy comes out at -3.960 eV per atom. For the size of the total moment, the calculation gives 0.0 μB/cell. The symmetry is C2/m. The value obtained for the density of states at the Fermi level is 0.00 states/eV/cell. The calculation puts the uncorrected formation energy at -1.10 eV/atom.

=====

Record 10
This record from the Alexandria database describes crystalline Na2TiBeSe4 at its relaxed geometry. The functional is PBE-GGA.

```
Na2TiBeSe4
1.0
6.427 0.000 0.000
0.000 6.427 0.000
0.000 0.000 10.158
Na Ti Be Se
4 2 2 8
direct
0.000 0.000 0.000 Na
0.000 0.500 0.250 Na
0.500 0.000 0.750 Na
0.500 0.500 0.500 Na
0.000 0.500 0.750 Ti
0.500 0.000 0.250 Ti
0.000 0.000 0.500 Be
0.500 0.500 0.000 Be
0.173 0.238 0.621 Se
0.238 0.827 0.379 Se
0.262 0.673 0.879 Se
0.327 0.262 0.121 Se
0.673 0.738 0.121 Se
0.738 0.327 0.879 Se
0.762 0.173 0.379 Se
0.827 0.762 0.621 Se
```

The raw total energy comes out at -4.510 eV per atom. For the size of the total moment, the calculation gives 0.0 μB/cell. The symmetry is I-4. The value obtained for the density of states at the Fermi level is 0.00 states/eV/cell. The calculation puts the uncorrected formation energy at -0.99 eV/atom.

=====

Among the records above, which one has the highest density of states at the Fermi level?
number 4